The following is a DFT calculation (PBE+U) of a geometry-optimized K2MoAs2O9 structure.

Cell lengths 14.215, 7.607, 9.708 Å; angles 63.98, 90.00, 90.00 degrees
Fractional coordinates of all 56 atoms:
As 0.335 0.279 0.537
As 0.341 0.862 0.808
As 0.841 0.138 0.692
As 0.659 0.138 0.192
As 0.835 0.721 0.963
As 0.165 0.279 0.037
As 0.159 0.862 0.308
As 0.665 0.721 0.463
O 0.745 0.650 0.615
O 0.762 0.211 0.537
O 0.728 0.931 0.322
O 0.342 0.702 0.728
O 0.555 0.075 0.147
O 0.772 0.931 0.822
O 0.238 0.789 0.463
O 0.228 0.069 0.178
O 0.361 0.694 0.240
O 0.339 0.439 0.617
O 0.937 0.790 0.008
O 0.636 0.555 0.890
O 0.661 0.561 0.383
O 0.864 0.555 0.390
O 0.055 0.925 0.353
O 0.063 0.210 0.992
O 0.445 0.925 0.853
O 0.755 0.650 0.115
O 0.262 0.789 0.963
O 0.563 0.790 0.508
O 0.161 0.439 0.117
O 0.639 0.306 0.760
O 0.272 0.069 0.678
O 0.658 0.298 0.272
O 0.842 0.298 0.772
O 0.945 0.075 0.647
O 0.437 0.210 0.492
O 0.839 0.561 0.883
O 0.861 0.306 0.260
O 0.139 0.694 0.740
O 0.136 0.445 0.610
O 0.255 0.350 0.385
O 0.364 0.445 0.110
O 0.738 0.211 0.037
O 0.245 0.350 0.885
O 0.158 0.702 0.228
K 0.590 0.040 0.644
K 0.090 0.960 0.856
K 0.047 0.338 0.375
K 0.547 0.662 0.125
K 0.453 0.338 0.875
K 0.910 0.040 0.144
K 0.953 0.662 0.625
K 0.410 0.960 0.356
Mo 0.716 0.431 0.827
Mo 0.284 0.569 0.173
Mo 0.784 0.431 0.327
Mo 0.216 0.569 0.673

Calculated values
* SG: P2_1/c
* D(E_F): 0.000 states/eV per cell
* final energy: -339.77 eV per cell